VASP calculation (GGA-PBE) on a relaxed structure of LaSiHO2.

a = 3.5195 Å, b = 5.7264 Å, c = 3.5195 Å
α = 90.00°, β = 90.00°, γ = 90.00°
Element x y z (fractional)
Si: 0.0000 0.0000 0.0000
O: 0.0000 0.0000 0.5000
O: 0.5000 0.0000 0.0000
La: 0.0000 0.5000 0.0000
H: 0.5000 0.5000 0.5000

Output
Symmetry ... P4/mmm (123)

VASP calculation (GGA-PBE) on a relaxed structure of AlCoAs.

a = 4.0339 Å, b = 4.0339 Å, c = 4.0339 Å
α = 60.00°, β = 60.00°, γ = 60.00°
Each line ends with the local moment (μB).
Element x y z (fractional)
Co: 0.0000 0.0000 0.0000  0.51
As: 0.7500 0.7500 0.7500  0.01
Al: 0.5000 0.5000 0.5000  -0.01

Output
Symmetry ... F-43m (216)
Formation enthalpy at 0 K ... 0.122 eV/atom

VASP calculation (GGA-PBE) on a relaxed structure of ScSe2Cl.

a = 7.4045 Å, b = 7.4045 Å, c = 7.4045 Å
α = 32.02°, β = 32.02°, γ = 32.02°
Element x y z (fractional)
Se: 0.0214 0.0214 0.0214
Se: 0.4786 0.4786 0.4786
Cl: 0.2500 0.2500 0.2500
Sc: 0.7500 0.7500 0.7500

Output
E above lowest polymorph ... 2.28 eV per formula unit
E_form (uncorrected) ... -0.72 eV/atom
Symmetry ... R-3m (166)

VASP calculation (GGA-PBE) on a relaxed structure of TlHgSb2.

a = 4.4927 Å, b = 4.4927 Å, c = 5.7357 Å
α = 90.00°, β = 90.00°, γ = 90.00°
Element x y z (fractional)
Sb: 0.5000 0.5000 0.0000
Sb: 0.0000 0.0000 0.0000
Tl: 0.5000 0.0000 0.5000
Hg: 0.0000 0.5000 0.5000

Output
E above lowest polymorph ... 0.37 eV per formula unit
E_form (uncorrected) ... 0.13 eV/atom
Symmetry ... P4/mmm (123)

Number 1: E -0.2105 hartree per atom, magnetic moment 0.0 μB per formula unit. Number 2: E -0.1854 hartree per atom, magnetic moment 0.5 μB per formula unit. Number 3: E -0.1657 hartree per atom, magnetic moment 0.0 μB per formula unit. Number 4: E -0.0954 hartree per atom, magnetic moment 0.0 μB per formula unit.